Here is a relaxed structure of Cr2SF from Alexandria. Energies are from GGA+U.

Output
VASP energy   -6.17 eV per atom
DOS at the Fermi energy   1.67 states/eV/f.u.
Energy above the lowest structure with this stoichiometry   0 meV per atom
Total magnetic moment   9.000 μB/f.u.

Cell: 6.265 6.265 5.634 Å, 56.22 56.22 90.00°
Positions (direct):
Cr 0.603 0.125 0.250
Cr 0.147 0.625 0.250
Cr 0.375 0.397 0.750
Cr 0.875 0.853 0.750
S 0.000 0.000 0.000
S 0.750 0.250 0.500
F 0.500 0.500 0.000
F 0.250 0.750 0.500